{"formula": "Be2TlW", "functional": "PBE", "state": "optimized geometry", "e_form_ev_per_atom": 0.703, "polymorph_energy_mev_per_atom": 200, "lattice": [[2.7737, 0.0000, 0.0000], [0.0000, 2.7737, 0.0000], [0.0000, 0.0000, 8.9094]], "species": ["Be", "Be", "Tl", "W"], "fractional_positions": [[0.0000, 0.0000, 0.0000], [0.5000, 0.5000, 0.1090], [0.0000, 0.0000, 0.5129], [0.5000, 0.5000, 0.8129]]}


{"formula": "Be2TlW", "functional": "PBE", "state": "optimized geometry", "e_form_ev_per_atom": 0.641, "polymorph_energy_mev_per_atom": 138, "lattice": [[9.4452, 0.0000, 0.0000], [0.0000, 2.8596, 0.0000], [-1.3494, 0.0000, 4.2023]], "species": ["Be", "Be", "Be", "Be", "Tl", "Tl", "W", "W"], "fractional_positions": [[0.0000, 0.0000, 0.0000], [0.2061, 0.5000, 0.3085], [0.5000, 0.5000, 0.0000], [0.7061, 0.0000, 0.3085], [0.2338, 0.0000, 0.8143], [0.7338, 0.5000, 0.8143], [0.4520, 0.0000, 0.4455], [0.9520, 0.5000, 0.4455]]}


{"formula": "BeTl3W", "functional": "PBE", "state": "optimized geometry", "e_form_ev_per_atom": 1.369, "polymorph_energy_mev_per_atom": 15, "lattice": [[4.9550, 0.0000, 0.0000], [0.0000, 4.9550, 0.0000], [0.0000, 0.0000, 4.9550]], "species": ["Be", "Tl", "Tl", "Tl", "W"], "fractional_positions": [[0.0000, 0.0000, 0.0000], [0.0000, 0.0000, 0.5000], [0.0000, 0.5000, 0.0000], [0.5000, 0.0000, 0.0000], [0.5000, 0.5000, 0.5000]]}


{"formula": "Be2TlW", "functional": "PBE", "state": "optimized geometry", "e_form_ev_per_atom": 0.613, "polymorph_energy_mev_per_atom": 110, "lattice": [[2.8019, 0.0000, 0.0000], [0.0000, 2.8019, 0.0000], [0.0000, 0.0000, 8.2488]], "species": ["Be", "Be", "Tl", "W"], "fractional_positions": [[0.0000, 0.0000, 0.1955], [0.0000, 0.0000, 0.8045], [0.5000, 0.5000, 0.5000], [0.5000, 0.5000, 0.0000]]}


> Which formula does entry 2 have?

Be2TlW